Computed, not measured: crystalline ErH7Pd5 at its relaxed geometry at the PBE-GGA level of DFT.

Output
DOS(E_F) (states/eV per cell): 1.21
Electronic total energy (eV for the cell shown): -57.5
Symmetry: P1

Cell: 5.572 5.575 5.644 Å, 117.53 92.71 118.50°
Sites, in units of the cell vectors:
1 Er 0.000 0.000 0.000
2 H 0.019 0.465 0.052
3 H 0.052 0.746 0.560
4 H 0.085 0.274 0.492
5 H 0.453 0.514 0.277
6 H 0.491 0.000 0.005
7 H 0.492 0.984 0.480
8 H 0.645 0.459 0.898
9 Pd 0.273 0.145 0.601
10 Pd 0.378 0.691 0.597
11 Pd 0.442 0.740 0.118
12 Pd 0.745 0.450 0.226
13 Pd 0.862 0.326 0.698